(1)
Entry from Alexandria via LeMat-Bulk: LaY2H at its PBEsol-relaxed geometry (meta-GGA SCAN).

Output
Its space-group type is Fm-3m, No. 225. As for the final energy: -0.911 hartree per atom.

a b c (Å): 5.2275 5.2275 5.2275
angles (deg): 60.00 60.00 60.00
With the nearest neighbours (Å) after each atom.
Fractional positions:
La 0.0000 0.0000 0.0000  8 Y 3.20
Y 0.2500 0.2500 0.2500  4 H 3.20, 4 La 3.20
Y 0.7500 0.7500 0.7500  4 H 3.20, 4 La 3.20
H 0.5000 0.5000 0.5000  8 Y 3.20

(2)
Entry from Alexandria via LeMat-Bulk: LaY2H2 at its PBEsol-relaxed geometry (meta-GGA SCAN).

Output
Its space-group type is I4/mmm, No. 139. The value obtained for the polymorph energy (0 for the lowest one) is 0.0 meV/atom.

a b c (Å): 8.6946 8.6946 8.6946
angles (deg): 156.75 156.75 33.11
With the nearest neighbours (Å) after each atom.
Fractional positions:
La 0.0000 0.0000 0.0000  4 La 3.50, 8 Y 3.78
Y 0.3291 0.3291 0.0000  4 H 2.19
Y 0.6709 0.6709 0.0000  4 H 2.19
H 0.2500 0.7500 0.5000  4 Y 2.19
H 0.7500 0.2500 0.5000  4 Y 2.19